First-principles (GGA-PBEsol) data for TlHg2Au after structural relaxation, as listed in Alexandria via LeMat-Bulk.

The value obtained for the total moment is 0.00 μB/f.u. As for the energy relative to the elements: 0.31 eV/f.u.

It has space group P4/mmm (No. 123), with a = 4.2417 Å, b = 4.2417 Å, c = 5.0285 Å, α = 90.00°, β = 90.00° and γ = 90.00°. Symmetry generates all atoms from Tl at (0.0000, 0.0000, 0.0000), Hg at (0.0000, 0.5000, 0.5000) and Au at (0.5000, 0.5000, 0.0000).

***

First-principles (GGA-PBEsol) data for GaAg3 after structural relaxation, as listed in Alexandria via LeMat-Bulk.

The value obtained for the total moment is 0.00 μB/f.u. As for the energy relative to the elements: -0.13 eV/f.u.

It has space group P-6m2 (No. 187), with a = 2.9022 Å, b = 2.9022 Å, c = 8.9661 Å, α = 90.00°, β = 90.00° and γ = 120.00°. Symmetry generates all atoms from Ga at (0.0000, 0.0000, 0.0000), Ag at (0.0000, 0.0000, 0.5000) and Ag at (0.3333, 0.6667, 0.2412).

***

First-principles (GGA-PBEsol) data for Na2GeSe3 after structural relaxation, as listed in Alexandria via LeMat-Bulk.

The value obtained for the total moment is 0.00 μB/f.u. The calculation puts the energy relative to the elements, uncorrected at -0.7359 eV/atom.

It has space group P2_1/c (No. 14), with a = 7.0044 Å, b = 16.1257 Å, c = 6.0091 Å, α = 90.00°, β = 113.76° and γ = 90.00°. Symmetry generates all atoms from Na at (0.0718, 0.1669, 0.0305), Na at (0.2808, 0.5228, 0.1655), Ge at (0.4735, 0.1693, 0.6592), Se at (0.1187, 0.1481, 0.5530), Se at (0.2996, 0.5595, 0.6630) and Se at (0.4347, 0.6930, 0.1819).

***

First-principles (GGA-PBEsol) data for ScIOF2 after structural relaxation, as listed in Alexandria via LeMat-Bulk.

The value obtained for the total moment is 1.11 μB/f.u. The calculation puts the energy relative to the elements, uncorrected at -0.5614 eV/atom.

It has space group P4/mmm (No. 123), with a = 4.9608 Å, b = 4.9608 Å, c = 3.9901 Å, α = 90.00°, β = 90.00° and γ = 90.00°. Symmetry generates all atoms from Sc at (0.0000, 0.0000, 0.0000), I at (0.5000, 0.5000, 0.5000), O at (0.5000, 0.5000, 0.0000) and F at (0.0000, 0.5000, 0.5000).

***

First-principles (GGA-PBEsol) data for Li4SiMo after structural relaxation, as listed in Alexandria via LeMat-Bulk.

The value obtained for the total moment is 0.00 μB/f.u. The calculation puts the energy relative to the elements, uncorrected at 0.3879 eV/atom.

It has space group F-43m (No. 216), with a = 6.6776 Å, b = 6.6776 Å, c = 6.6776 Å, α = 90.00°, β = 90.00° and γ = 90.00°. Symmetry generates all atoms from Li at (0.1240, 0.1240, 0.1240), Si at (0.2500, 0.2500, 0.7500) and Mo at (0.0000, 0.0000, 0.5000).

***

First-principles (GGA-PBEsol) data for YCd3Ni after structural relaxation, as listed in Alexandria via LeMat-Bulk.

The value obtained for the total moment is 0.00 μB/f.u. As for the energy relative to the elements: 0.07 eV/f.u.

It has space group Pm-3m (No. 221), with a = 4.8096 Å, b = 4.8096 Å, c = 4.8096 Å, α = 90.00°, β = 90.00° and γ = 90.00°. Symmetry generates all atoms from Y at (0.0000, 0.0000, 0.0000), Cd at (0.0000, 0.5000, 0.5000) and Ni at (0.5000, 0.5000, 0.5000).

***

First-principles (GGA-PBEsol) data for ZrAlPt after structural relaxation, as listed in Alexandria via LeMat-Bulk.

The value obtained for the total moment is 0.00 μB/f.u. As for the energy relative to the elements: -1.41 eV/f.u.

It has space group P3m1 (No. 156), with a = 2.9467 Å, b = 2.9467 Å, c = 6.8138 Å, α = 90.00°, β = 90.00° and γ = 120.00°. Symmetry generates all atoms from Zr at (0.0000, 0.0000, 0.0000), Al at (0.6667, 0.3333, 0.6397) and Pt at (0.3333, 0.6667, 0.3449).

***

First-principles (GGA-PBEsol) data for YMoH2Pd after structural relaxation, as listed in Alexandria via LeMat-Bulk.

The value obtained for the total moment is 0.00 μB/f.u.

It has space group P4/mmm (No. 123), with a = 3.8460 Å, b = 3.8460 Å, c = 4.9431 Å, α = 90.00°, β = 90.00° and γ = 90.00°. Symmetry generates all atoms from Y at (0.0000, 0.0000, 0.0000), Mo at (0.5000, 0.5000, 0.0000), H at (0.0000, 0.5000, 0.5000) and Pd at (0.5000, 0.5000, 0.5000).

***

Uncorrected energy in eV per cell, matching the order above: -7.38; -13.40; -94.82; -20.28; -92.22; -16.50; -21.56; -27.66